A relaxed Li2TlFe crystal, computed with PBE.

As for the density of states at the Fermi level: 2.93 states/eV/f.u. For the formation energy, the calculation gives 0.228 eV/atom.

It has space group Pmmm (No. 47), with a = 2.976 Å, b = 4.106 Å, c = 5.577 Å, α = 90.00°, β = 90.00° and γ = 90.00°. The inequivalent atoms are Li at (0.000, 0.000, 0.230), Tl at (0.500, 0.500, 0.500) and Fe at (0.500, 0.500, 0.000).

A relaxed Li2TlFe2 crystal, computed with PBE.

As for the density of states at the Fermi level: 2.98 states/eV/f.u. For the formation energy, the calculation gives 0.323 eV/atom.

It has space group I4/mmm (No. 139), with a = 3.323 Å, b = 3.323 Å, c = 15.828 Å, α = 90.00°, β = 90.00° and γ = 90.00°. The inequivalent atoms are Li at (0.000, 0.000, 0.113), Tl at (0.000, 0.000, 0.500) and Fe at (0.000, 0.500, 0.250).

A relaxed Li2TlFe crystal, computed with PBE.

As for the density of states at the Fermi level: 2.17 states/eV/f.u. For the formation energy, the calculation gives 0.199 eV/atom.

It has space group I4/mmm (No. 139), with a = 3.896 Å, b = 3.896 Å, c = 8.943 Å, α = 90.00°, β = 90.00° and γ = 90.00°. The inequivalent atoms are Li at (0.000, 0.500, 0.250), Tl at (0.000, 0.000, 0.000) and Fe at (0.000, 0.000, 0.500).

A relaxed LiTl4Fe crystal, computed with PBE.

As for the density of states at the Fermi level: 7.80 states/eV/f.u. For the formation energy, the calculation gives 0.605 eV/atom.

It has space group F-43m (No. 216), with a = 8.844 Å, b = 8.844 Å, c = 8.844 Å, α = 90.00°, β = 90.00° and γ = 90.00°. The inequivalent atoms are Li at (0.000, 0.000, 0.000), Tl at (0.125, 0.125, 0.625) and Fe at (0.250, 0.250, 0.250).

A relaxed LiTl2Fe crystal, computed with PBE.

As for the density of states at the Fermi level: 2.96 states/eV/f.u. For the formation energy, the calculation gives 0.319 eV/atom.

It has space group C2/m (No. 12), with a = 8.802 Å, b = 3.132 Å, c = 6.146 Å, α = 90.00°, β = 99.13° and γ = 90.00°. The inequivalent atoms are Li at (0.000, 0.000, 0.000), Tl at (0.247, 0.000, 0.741) and Fe at (0.000, 0.500, 0.500).

A relaxed LiTlFe4 crystal, computed with PBE.

As for the density of states at the Fermi level: 6.39 states/eV/f.u. For the formation energy, the calculation gives 0.274 eV/atom.

It has space group F-43m (No. 216), with a = 7.003 Å, b = 7.003 Å, c = 7.003 Å, α = 90.00°, β = 90.00° and γ = 90.00°. The inequivalent atoms are Li at (0.000, 0.000, 0.000), Tl at (0.250, 0.250, 0.250) and Fe at (0.126, 0.126, 0.626).